Entry from Alexandria via LeMat-Bulk: an optimized crystal structure of LaZn2Pb (PBE-GGA).

Summary:
Its total energy is -11.9 eV per cell. Its formation energy is -0.1758 eV per atom. The calculation puts the magnetization at 0.0 Bohr magnetons per cell.

The structure in POSCAR format:
```
LaZn2Pb
1.0
3.5600 0.0000 0.0000
0.0000 3.5600 0.0000
0.0000 0.0000 7.6221
La Zn Pb
1 2 1
Direct
0.0000 0.0000 0.0000 La
0.0000 0.0000 0.5778 Zn
0.5000 0.5000 0.7264 Zn
0.5000 0.5000 0.3229 Pb
```


Entry from Alexandria via LeMat-Bulk: an optimized crystal structure of LaZn2Pb (PBE-GGA).

Summary:
Its total energy is -11.8 eV per cell. Its formation energy is -0.1503 eV per atom. The calculation puts the magnetization at 0.0 Bohr magnetons per cell.

The structure in POSCAR format:
```
LaZn2Pb
1.0
0.0000 3.6852 3.6852
3.6852 0.0000 3.6852
3.6852 3.6852 0.0000
La Zn Pb
1 2 1
Direct
0.0000 0.0000 0.0000 La
0.5000 0.5000 0.5000 Zn
0.7500 0.7500 0.7500 Zn
0.2500 0.2500 0.2500 Pb
```


Entry from Alexandria via LeMat-Bulk: an optimized crystal structure of LaZn4Pb (PBE-GGA).

Summary:
Its total energy is -14.5 eV per cell. Its formation energy is -0.1256 eV per atom. The calculation puts the magnetization at 0.0 Bohr magnetons per cell.

The structure in POSCAR format:
```
LaZn4Pb
1.0
0.0000 4.0054 4.0054
4.0054 0.0000 4.0054
4.0054 4.0054 0.0000
La Zn Pb
1 4 1
Direct
0.0000 0.0000 0.0000 La
0.3745 0.3745 0.3745 Zn
0.3745 0.3745 0.8764 Zn
0.3745 0.8764 0.3745 Zn
0.8764 0.3745 0.3745 Zn
0.7500 0.7500 0.7500 Pb
```


Entry from Alexandria via LeMat-Bulk: an optimized crystal structure of LaZn2Pb (PBE-GGA).

Summary:
Its total energy is -11.9 eV per cell. Its formation energy is -0.1847 eV per atom. The calculation puts the magnetization at 0.0 Bohr magnetons per cell.

The structure in POSCAR format:
```
LaZn2Pb
1.0
3.5844 0.0000 0.0000
0.0000 4.7894 0.0000
0.0000 0.0000 5.9773
La Zn Pb
1 2 1
Direct
0.0000 0.0000 0.0000 La
0.5000 0.5000 0.2239 Zn
0.5000 0.5000 0.7761 Zn
0.5000 0.0000 0.5000 Pb
```


Entry from Alexandria via LeMat-Bulk: an optimized crystal structure of LaZn2Pb (PBE-GGA).

Summary:
Its total energy is -12.0 eV per cell. Its formation energy is -0.2158 eV per atom. The calculation puts the magnetization at 0.0 Bohr magnetons per cell.

The structure in POSCAR format:
```
LaZn2Pb
1.0
-2.0393 2.2581 5.5444
2.0393 -2.2581 5.5444
2.0393 2.2581 -5.5444
La Zn Pb
1 2 1
Direct
0.0000 0.0000 0.0000 La
0.5869 0.5869 0.0000 Zn
0.7285 0.2285 0.5000 Zn
0.2744 0.7744 0.5000 Pb
```


Entry from Alexandria via LeMat-Bulk: an optimized crystal structure of La2ZnPb2 (PBE-GGA).

Summary:
Its total energy is -41.3 eV per cell. Its formation energy is -0.4236 eV per atom. The calculation puts the magnetization at 0.0 Bohr magnetons per cell. Its relative energy among the computed polymorphs is 0 kJ/mol of formula units.

The structure in POSCAR format:
```
La2ZnPb2
1.0
7.9084 0.0000 0.0000
0.0000 7.9084 0.0000
0.0000 0.0000 4.8719
La Zn Pb
4 2 4
Direct
0.1725 0.3275 0.0000 La
0.3275 0.8275 0.0000 La
0.6725 0.1725 0.0000 La
0.8275 0.6725 0.0000 La
0.0000 0.0000 0.5000 Zn
0.5000 0.5000 0.5000 Zn
0.1368 0.6368 0.5000 Pb
0.3632 0.1368 0.5000 Pb
0.6368 0.8632 0.5000 Pb
0.8632 0.3632 0.5000 Pb
```


Entry from Alexandria via LeMat-Bulk: an optimized crystal structure of LaZn2Pb (PBE-GGA).

Summary:
Its total energy is -11.8 eV per cell. Its formation energy is -0.1659 eV per atom. The calculation puts the magnetization at 0.0 Bohr magnetons per cell.

The structure in POSCAR format:
```
LaZn2Pb
1.0
3.7052 0.0000 0.0000
0.0000 3.7052 0.0000
0.0000 0.0000 7.2148
La Zn Pb
1 2 1
Direct
0.0000 0.0000 0.0000 La
0.5000 0.5000 0.2687 Zn
0.5000 0.5000 0.7313 Zn
0.0000 0.0000 0.5000 Pb
```


Entry from Alexandria via LeMat-Bulk: an optimized crystal structure of LaZn2Pb (PBE-GGA).

Summary:
Its total energy is -12.5 eV per cell. Its formation energy is -0.3223 eV per atom. The calculation puts the magnetization at 0.0 Bohr magnetons per cell.

The structure in POSCAR format:
```
LaZn2Pb
1.0
3.8567 -2.2252 0.0000
3.8567 2.2252 0.0000
-2.5694 0.0000 5.8727
La Zn Pb
1 2 1
Direct
0.0000 0.0000 0.0000 La
0.2265 0.2265 0.6788 Zn
0.5513 0.5513 0.6532 Zn
0.7963 0.7963 0.3867 Pb
```


Entry from Alexandria via LeMat-Bulk: an optimized crystal structure of LaZn2Pb (PBE-GGA).

Summary:
Its total energy is -12.0 eV per cell. Its formation energy is -0.2001 eV per atom. The calculation puts the magnetization at 0.0 Bohr magnetons per cell.

The structure in POSCAR format:
```
LaZn2Pb
1.0
4.5239 0.0000 0.0000
0.0000 2.9679 3.8103
0.0000 -2.9679 3.8103
La Zn Pb
1 2 1
Direct
0.0000 0.0000 0.0000 La
0.0000 0.4280 0.4280 Zn
0.5000 0.2866 0.2866 Zn
0.5000 0.6747 0.6747 Pb
```


Entry from Alexandria via LeMat-Bulk: an optimized crystal structure of La6Zn2Pb (PBE-GGA).

Summary:
Its total energy is -76.1 eV per cell. Its formation energy is -0.2483 eV per atom. The calculation puts the magnetization at 0.0 Bohr magnetons per cell.

The structure in POSCAR format:
```
La6Zn2Pb
1.0
-4.9084 4.9924 5.8134
4.9084 -4.9924 5.8134
4.9084 4.9924 -5.8134
La Zn Pb
12 4 2
Direct
0.0375 0.2352 0.8023 La
0.2023 0.2865 0.4889 La
0.2023 0.7135 0.9158 La
0.3156 0.0269 0.7113 La
0.3156 0.6042 0.2887 La
0.4328 0.2352 0.1977 La
0.5672 0.7648 0.8023 La
0.6844 0.3958 0.7113 La
0.6844 0.9731 0.2887 La
0.7977 0.2865 0.0842 La
0.7977 0.7135 0.5111 La
0.9625 0.7648 0.1977 La
0.1157 0.6157 0.5000 Zn
0.3644 0.0000 0.3644 Zn
0.6357 0.0000 0.6357 Zn
0.8843 0.3843 0.5000 Zn
0.0000 0.0000 0.0000 Pb
0.5000 0.5000 0.0000 Pb
```


Entry from Alexandria via LeMat-Bulk: an optimized crystal structure of LaZnPb (PBE-GGA).

Summary:
Its total energy is -22.4 eV per cell. Its formation energy is -0.4253 eV per atom. The calculation puts the magnetization at 0.0 Bohr magnetons per cell.

The structure in POSCAR format:
```
LaZnPb
1.0
-2.3719 4.4507 3.8675
2.3719 -4.4507 3.8675
2.3719 4.4507 -3.8675
La Zn Pb
2 2 2
Direct
0.0000 0.0000 0.0000 La
0.4915 0.4915 0.0000 La
0.6231 0.2690 0.3542 Zn
0.9148 0.2690 0.6458 Zn
0.0541 0.7399 0.3142 Pb
0.4257 0.7399 0.6858 Pb
```


Entry from Alexandria via LeMat-Bulk: an optimized crystal structure of LaZnPb (PBE-GGA).

Summary:
Its total energy is -11.0 eV per cell. Its formation energy is -0.3792 eV per atom. The calculation puts the magnetization at 0.0 Bohr magnetons per cell.

The structure in POSCAR format:
```
LaZnPb
1.0
0.0000 3.4969 3.4969
3.4969 0.0000 3.4969
3.4969 3.4969 0.0000
La Zn Pb
1 1 1
Direct
0.0000 0.0000 0.0000 La
0.2500 0.2500 0.2500 Zn
0.5000 0.5000 0.5000 Pb
```